In5SnSb3Te: PBEsol geometry, SCAN.

Lattice parameters (Å, degrees): 6.5346 7.9979 8.0152 80.29 65.97 65.92
Positions (direct):
1 In 0.0000 0.0000 0.0000
2 In 0.1772 0.2075 0.4192
3 In 0.3745 0.4238 0.8048
4 In 0.5875 0.6247 0.2092
5 In 0.7880 0.8090 0.6119
6 Sn 0.9302 0.7136 0.9081
7 Sb 0.1287 0.9140 0.3092
8 Sb 0.3435 0.1137 0.7085
9 Sb 0.7367 0.5117 0.5080
10 Te 0.5369 0.3117 0.1115

Properties
Uncorrected energy: -35.3539 eV/atom
Formation energy without anion corrections: -0.165 eV/atom
ρ: 5.64 Mg/m³
V: 34.9 Å³/atom

SrNi2Te2: PBEsol geometry, SCAN.

Lattice parameters (Å, degrees): 6.8325 6.8325 6.8325 144.38 144.38 51.25
Positions (direct):
1 Sr 0.0000 0.0000 0.0000
2 Ni 0.2500 0.7500 0.5000
3 Ni 0.7500 0.2500 0.5000
4 Te 0.3614 0.3614 0.0000
5 Te 0.6386 0.6386 0.0000

Properties
Uncorrected energy: -26.4481 eV/atom
Formation energy without anion corrections: -0.623 eV/atom
ρ: 7.10 Mg/m³
V: 21.5 Å³/atom

CrCdCo2: PBEsol geometry, SCAN.

Lattice parameters (Å, degrees): 2.6562 3.3651 5.7329 90.00 90.00 90.00
Positions (direct):
1 Cr 0.0000 0.0000 0.0000
2 Cd 0.5000 0.5000 0.3216
3 Co 0.0000 0.0000 0.6070
4 Co 0.5000 0.5000 0.8248

Properties
Uncorrected energy: -20.4794 eV/atom
ρ: 9.15 Mg/m³
V: 12.8 Å³/atom
E_form: 0.372 eV/atom

Al2SiHg: PBEsol geometry, SCAN.

Lattice parameters (Å, degrees): 3.0198 3.0198 7.5640 90.00 90.00 90.00
Positions (direct):
1 Al 0.0000 0.0000 0.2222
2 Al 0.0000 0.0000 0.7778
3 Si 0.5000 0.5000 0.0000
4 Hg 0.5000 0.5000 0.5000

Properties
Uncorrected energy: -23.1986 eV/atom
Formation energy without anion corrections: 0.223 eV/atom
Energy above the lowest structure with this stoichiometry: 0.065 eV/atom
ρ: 6.80 Mg/m³
V: 17.2 Å³/atom

Ta3Cu: PBEsol geometry, SCAN.

Lattice parameters (Å, degrees): 4.2954 4.2954 3.4988 90.00 90.00 90.00
Positions (direct):
1 Ta 0.0000 0.0000 0.0000
2 Ta 0.0000 0.5000 0.5000
3 Ta 0.5000 0.0000 0.5000
4 Cu 0.5000 0.5000 0.0000

Properties
Uncorrected energy: -53.6494 eV/atom
ρ: 15.60 Mg/m³
V: 16.1 Å³/atom
E_form: 0.088 eV/atom

CsReP2: PBEsol geometry, SCAN.

Lattice parameters (Å, degrees): 7.1909 7.1909 7.1909 120.98 120.98 88.31
Positions (direct):
1 Cs 0.3750 0.6250 0.7500
2 Cs 0.6250 0.3750 0.2500
3 Re 0.1250 0.8750 0.2500
4 Re 0.8750 0.1250 0.7500
5 P 0.0000 0.0000 0.0000
6 P 0.0000 0.0000 0.5000
7 P 0.0000 0.5000 0.0000
8 P 0.5000 0.0000 0.5000

Properties
Uncorrected energy: -32.7683 eV/atom
ρ: 4.89 Mg/m³
V: 32.4 Å³/atom
E_form: -0.342 eV/atom

OsSeCl2: PBEsol geometry, SCAN.

Lattice parameters (Å, degrees): 4.7226 4.7226 2.9212 90.00 90.00 90.00
Positions (direct):
1 Os 0.0000 0.0000 0.0000
2 Se 0.5000 0.5000 0.0000
3 Cl 0.0000 0.5000 0.5000
4 Cl 0.5000 0.0000 0.5000

Properties
Uncorrected energy: -25.4008 eV/atom
Formation energy without anion corrections: 1.578 eV/atom
Energy above the lowest structure with this stoichiometry: 1.507 eV/atom
ρ: 8.67 Mg/m³
V: 16.3 Å³/atom

LiCa2Co: PBEsol geometry, SCAN.

Lattice parameters (Å, degrees): 6.3216 6.3216 6.3216 104.90 104.90 119.06
Positions (direct):
1 Li 0.0000 0.0000 0.0000
2 Li 0.7500 0.2500 0.5000
3 Ca 0.1717 0.6250 0.0467
4 Ca 0.3750 0.4217 0.5467
5 Ca 0.5783 0.1250 0.9533
6 Ca 0.8750 0.8283 0.4533
7 Co 0.2500 0.7500 0.5000
8 Co 0.5000 0.5000 0.0000

Properties
Uncorrected energy: -9.1709 eV/atom
ρ: 2.55 Mg/m³
V: 23.8 Å³/atom
E_form: 0.584 eV/atom

K3Mg20In14: PBEsol geometry, SCAN.

Lattice parameters (Å, degrees): 9.6929 9.6929 9.6929 90.00 90.00 90.00
Positions (direct):
1 K 0.0000 0.0000 0.5000
2 K 0.0000 0.5000 0.0000
3 K 0.5000 0.0000 0.0000
4 Mg 0.1739 0.1739 0.1739
5 Mg 0.1739 0.1739 0.8261
6 Mg 0.1739 0.8261 0.1739
7 Mg 0.1739 0.8261 0.8261
8 Mg 0.2652 0.2652 0.5000
9 Mg 0.2652 0.5000 0.2652
10 Mg 0.2652 0.5000 0.7348
11 Mg 0.2652 0.7348 0.5000
12 Mg 0.5000 0.2652 0.2652
13 Mg 0.5000 0.2652 0.7348
14 Mg 0.5000 0.7348 0.2652
15 Mg 0.5000 0.7348 0.7348
16 Mg 0.7348 0.2652 0.5000
17 Mg 0.7348 0.5000 0.2652
18 Mg 0.7348 0.5000 0.7348
19 Mg 0.7348 0.7348 0.5000
20 Mg 0.8261 0.1739 0.1739
21 Mg 0.8261 0.1739 0.8261
22 Mg 0.8261 0.8261 0.1739
23 Mg 0.8261 0.8261 0.8261
24 In 0.0000 0.0000 0.0000
25 In 0.0000 0.3490 0.3490
26 In 0.0000 0.3490 0.6510
27 In 0.0000 0.6510 0.3490
28 In 0.0000 0.6510 0.6510
29 In 0.3490 0.0000 0.3490
30 In 0.3490 0.0000 0.6510
31 In 0.3490 0.3490 0.0000
32 In 0.3490 0.6510 0.0000
33 In 0.5000 0.5000 0.5000
34 In 0.6510 0.0000 0.3490
35 In 0.6510 0.0000 0.6510
36 In 0.6510 0.3490 0.0000
37 In 0.6510 0.6510 0.0000

Properties
Uncorrected energy: -16.2168 eV/atom
ρ: 4.03 Mg/m³
V: 24.6 Å³/atom
E_form: -0.220 eV/atom

GeH8N2OF6: PBEsol geometry, SCAN.

Lattice parameters (Å, degrees): 8.7160 9.0458 7.3883 90.00 90.00 90.00
Positions (direct):
1 Ge 0.1530 0.2500 0.0076
2 Ge 0.3470 0.7500 0.5076
3 Ge 0.6530 0.2500 0.4924
4 Ge 0.8470 0.7500 0.9924
5 H 0.0453 0.5758 0.6626
6 H 0.0453 0.9242 0.6626
7 H 0.0904 0.5586 0.3539
8 H 0.0904 0.9414 0.3539
9 H 0.1217 0.1114 0.4617
10 H 0.1217 0.3886 0.4617
11 H 0.1784 0.7500 0.9411
12 H 0.2393 0.7500 0.1448
13 H 0.2607 0.2500 0.6448
14 H 0.3216 0.2500 0.4411
15 H 0.3783 0.6114 0.9617
16 H 0.3783 0.8886 0.9617
17 H 0.4096 0.0586 0.8539
18 H 0.4096 0.4414 0.8539
19 H 0.4547 0.0758 0.1626
20 H 0.4547 0.4242 0.1626
21 H 0.5453 0.5758 0.8374
22 H 0.5453 0.9242 0.8374
23 H 0.5904 0.5586 0.1461
24 H 0.5904 0.9414 0.1461
25 H 0.6217 0.1114 0.0383
26 H 0.6217 0.3886 0.0383
27 H 0.6784 0.7500 0.5589
28 H 0.7393 0.7500 0.3552
29 H 0.7607 0.2500 0.8552
30 H 0.8216 0.2500 0.0589
31 H 0.8783 0.6114 0.5383
32 H 0.8783 0.8886 0.5383
33 H 0.9096 0.0586 0.6461
34 H 0.9096 0.4414 0.6461
35 H 0.9547 0.0758 0.3374
36 H 0.9547 0.4242 0.3374
37 N 0.0379 0.0289 0.4219
38 N 0.0379 0.4711 0.4219
39 N 0.4621 0.5289 0.9219
40 N 0.4621 0.9711 0.9219
41 N 0.5379 0.0289 0.0781
42 N 0.5379 0.4711 0.0781
43 N 0.9621 0.5289 0.5781
44 N 0.9621 0.9711 0.5781
45 O 0.2257 0.2500 0.5164
46 O 0.2743 0.7500 0.0164
47 O 0.7257 0.2500 0.9836
48 O 0.7743 0.7500 0.4836
49 F 0.0144 0.7500 0.8417
50 F 0.0743 0.1096 0.8661
51 F 0.0743 0.3904 0.8661
52 F 0.1694 0.7500 0.3602
53 F 0.2430 0.1096 0.1475
54 F 0.2430 0.3904 0.1475
55 F 0.2570 0.6096 0.6475
56 F 0.2570 0.8904 0.6475
57 F 0.3306 0.2500 0.8602
58 F 0.4257 0.6096 0.3661
59 F 0.4257 0.8904 0.3661
60 F 0.4856 0.2500 0.3417
61 F 0.5144 0.7500 0.6583
62 F 0.5743 0.1096 0.6339
63 F 0.5743 0.3904 0.6339
64 F 0.6694 0.7500 0.1398
65 F 0.7430 0.1096 0.3525
66 F 0.7430 0.3904 0.3525
67 F 0.7570 0.6096 0.8525
68 F 0.7570 0.8904 0.8525
69 F 0.8306 0.2500 0.6398
70 F 0.9257 0.6096 0.1339
71 F 0.9257 0.8904 0.1339
72 F 0.9856 0.2500 0.1583

Properties
Uncorrected energy: -6.5717 eV/atom
ρ: 2.72 Mg/m³
V: 8.1 Å³/atom

SiSb2Mo: PBEsol geometry, SCAN.

Lattice parameters (Å, degrees): 3.0266 3.0266 9.3061 90.00 90.00 108.69
Positions (direct):
1 Si 0.0000 0.0000 0.0000
2 Sb 0.5000 0.5000 0.2690
3 Sb 0.5000 0.5000 0.7310
4 Mo 0.0000 0.0000 0.5000

Properties
Uncorrected energy: -29.1071 eV/atom
Formation energy without anion corrections: 0.748 eV/atom
ρ: 7.56 Mg/m³
V: 20.2 Å³/atom

BaLaCl5: PBEsol geometry, SCAN.

Lattice parameters (Å, degrees): 7.6879 7.6879 10.5955 109.99 109.99 70.99
Positions (direct):
1 Ba 0.0485 0.9515 0.7500
2 Ba 0.9515 0.0485 0.2500
3 La 0.5000 0.5000 0.0000
4 La 0.5000 0.5000 0.5000
5 Cl 0.1800 0.7964 0.0287
6 Cl 0.2036 0.8200 0.4713
7 Cl 0.2430 0.2834 0.3775
8 Cl 0.2834 0.2430 0.8775
9 Cl 0.4005 0.5995 0.7500
10 Cl 0.5995 0.4005 0.2500
11 Cl 0.7166 0.7570 0.1225
12 Cl 0.7570 0.7166 0.6225
13 Cl 0.7964 0.1800 0.5287
14 Cl 0.8200 0.2036 0.9713

Properties
Uncorrected energy: -20.1494 eV/atom
Formation energy without anion corrections: -2.643 eV/atom
Energy above the lowest structure with this stoichiometry: 0.062 eV/atom
ρ: 2.80 Mg/m³
V: 38.4 Å³/atom

Ca2Tl2Pb: PBEsol geometry, SCAN.

Lattice parameters (Å, degrees): 8.5728 8.5728 3.9094 90.00 90.00 90.00
Positions (direct):
1 Ca 0.1707 0.3293 0.0000
2 Ca 0.3293 0.8293 0.0000
3 Ca 0.6707 0.1707 0.0000
4 Ca 0.8293 0.6707 0.0000
5 Tl 0.1288 0.6288 0.5000
6 Tl 0.3712 0.1288 0.5000
7 Tl 0.6288 0.8712 0.5000
8 Tl 0.8712 0.3712 0.5000
9 Pb 0.0000 0.0000 0.5000
10 Pb 0.5000 0.5000 0.5000

Properties
Uncorrected energy: -48.4621 eV/atom
Energy above the lowest structure with this stoichiometry: 0.000 eV/atom
ρ: 8.05 Mg/m³
V: 28.7 Å³/atom
E_form: -0.497 eV/atom

CaLa2Ru: PBEsol geometry, SCAN.

Lattice parameters (Å, degrees): 3.4944 3.4944 9.9636 90.00 90.00 90.00
Positions (direct):
1 Ca 0.0000 0.0000 0.0000
2 La 0.5000 0.5000 0.3298
3 La 0.5000 0.5000 0.6702
4 Ru 0.0000 0.0000 0.5000

Properties
Uncorrected energy: -32.8140 eV/atom
Energy above the lowest structure with this stoichiometry: 0.031 eV/atom
ρ: 5.72 Mg/m³
V: 30.4 Å³/atom
E_form: -0.139 eV/atom

KPNO2: PBEsol geometry, SCAN.

Lattice parameters (Å, degrees): 5.4211 5.4211 7.1047 90.00 90.00 90.00
Positions (direct):
1 K 0.0000 0.0000 0.0000
2 P 0.0000 0.0000 0.5000
3 N 0.5000 0.5000 0.5000
4 O 0.0000 0.5000 0.0000
5 O 0.5000 0.0000 0.0000

Properties
Uncorrected energy: -6.2245 eV/atom
Formation energy without anion corrections: 1.872 eV/atom
ρ: 0.92 Mg/m³
V: 41.8 Å³/atom

Li8MnNi7O16: PBEsol geometry, SCAN.

Lattice parameters (Å, degrees): 6.4168 6.4421 7.5009 64.86 74.72 72.87
Positions (direct):
1 Li 0.0587 0.4357 0.1890
2 Li 0.1892 0.3121 0.5585
3 Li 0.3072 0.1843 0.9384
4 Li 0.4311 0.0611 0.3159
5 Li 0.5689 0.9389 0.6841
6 Li 0.6928 0.8157 0.0616
7 Li 0.8108 0.6879 0.4415
8 Li 0.9413 0.5643 0.8110
9 Mn 0.5000 0.5000 0.0000
10 Ni 0.0000 0.0000 0.5000
11 Ni 0.1265 0.8733 0.8746
12 Ni 0.2469 0.7484 0.2498
13 Ni 0.3767 0.6227 0.6275
14 Ni 0.6233 0.3773 0.3725
15 Ni 0.7531 0.2516 0.7502
16 Ni 0.8735 0.1267 0.1254
17 O 0.0133 0.2105 0.8529
18 O 0.0948 0.6848 0.5168
19 O 0.1332 0.0880 0.2266
20 O 0.2438 0.5246 0.9042
21 O 0.2769 0.9419 0.6079
22 O 0.3500 0.4078 0.2669
23 O 0.3976 0.8213 0.9760
24 O 0.4886 0.3008 0.6498
25 O 0.5114 0.6992 0.3502
26 O 0.6024 0.1787 0.0240
27 O 0.6500 0.5922 0.7331
28 O 0.7231 0.0581 0.3921
29 O 0.7562 0.4754 0.0958
30 O 0.8668 0.9120 0.7734
31 O 0.9052 0.3152 0.4832
32 O 0.9867 0.7895 0.1471

Properties
Uncorrected energy: -9.5595 eV/atom
Formation energy without anion corrections: -1.738 eV/atom
ρ: 4.87 Mg/m³
V: 8.3 Å³/atom

NbRu3: PBEsol geometry, SCAN.

Lattice parameters (Å, degrees): 3.8553 3.8553 3.8553 90.00 90.00 90.00
Positions (direct):
1 Nb 0.0000 0.0000 0.0000
2 Ru 0.0000 0.5000 0.5000
3 Ru 0.5000 0.0000 0.5000
4 Ru 0.5000 0.5000 0.0000

Properties
Uncorrected energy: -34.5345 eV/atom
ρ: 11.48 Mg/m³
V: 14.3 Å³/atom
E_form: -0.132 eV/atom

CeDyFe4: PBEsol geometry, SCAN.

Lattice parameters (Å, degrees): 5.0168 5.0168 5.0168 60.00 60.00 60.00
Positions (direct):
1 Ce 0.0000 0.0000 0.0000
2 Dy 0.7500 0.7500 0.7500
3 Fe 0.3748 0.3748 0.3748
4 Fe 0.3748 0.3748 0.8755
5 Fe 0.3748 0.8755 0.3748
6 Fe 0.8755 0.3748 0.3748

Properties
Uncorrected energy: -27.4950 eV/atom
ρ: 9.78 Mg/m³
V: 14.9 Å³/atom
E_form: -0.015 eV/atom

Sr5As3H: PBEsol geometry, SCAN.

Lattice parameters (Å, degrees): 8.8859 8.8859 6.9883 90.00 90.00 120.00
Positions (direct):
1 Sr 0.0000 0.2484 0.2500
2 Sr 0.0000 0.7516 0.7500
3 Sr 0.2484 0.0000 0.2500
4 Sr 0.2484 0.2484 0.7500
5 Sr 0.3333 0.6667 0.0000
6 Sr 0.3333 0.6667 0.5000
7 Sr 0.6667 0.3333 0.0000
8 Sr 0.6667 0.3333 0.5000
9 Sr 0.7516 0.0000 0.7500
10 Sr 0.7516 0.7516 0.2500
11 As 0.0000 0.3926 0.7500
12 As 0.0000 0.6074 0.2500
13 As 0.3926 0.0000 0.7500
14 As 0.3926 0.3926 0.2500
15 As 0.6074 0.0000 0.2500
16 As 0.6074 0.6074 0.7500
17 H 0.0000 0.0000 0.0000
18 H 0.0000 0.0000 0.5000

Properties
Uncorrected energy: -20.7030 eV/atom
ρ: 4.61 Mg/m³
V: 26.5 Å³/atom

CaZnSN2: PBEsol geometry, SCAN.

Lattice parameters (Å, degrees): 4.3851 4.3851 5.4495 90.00 90.00 90.00
Positions (direct):
1 Ca 0.0000 0.0000 0.0000
2 Zn 0.5000 0.5000 0.5000
3 S 0.0000 0.0000 0.5000
4 N 0.0000 0.5000 0.0000
5 N 0.5000 0.0000 0.0000

Properties
Uncorrected energy: -9.0843 eV/atom
Formation energy without anion corrections: 1.194 eV/atom
ρ: 2.62 Mg/m³
V: 21.0 Å³/atom